{
  "formula": "AlNiMo",
  "functional": "PBE",
  "state": "optimized geometry",
  "vol_a3_per_cell": 50,
  "energy_ev_per_atom": -6.14,
  "spacegroup": "F-43m (216)",
  "lattice": [[0.000, 2.918, 2.918], [2.918, 0.000, 2.918], [2.918, 2.918, 0.000]],
  "species": ["Al", "Ni", "Mo"],
  "fractional_positions": [[0.000, 0.000, 0.000], [0.500, 0.500, 0.500], [0.250, 0.250, 0.250]]
}